This record from Alexandria via LeMat-Bulk describes a relaxed Li2ZrAg crystal. The functional is PBE.

The structure in POSCAR format:
```
Li2ZrAg
1.0
3.618 -1.953 1.980
2.173 2.137 3.397
-0.315 -1.588 4.267
Zr Ag Li
1 1 2
direct
0.000 0.000 0.000
0.500 0.500 0.500
0.250 0.250 0.250
0.750 0.750 0.750
```

SG = Fm-3m
polymorph energy (0 for the lowest one) = 0.188 eV per atom
DFT formation energy = 221 meV per atom